DFT (PBE) results for a relaxed structure of TaGe2Te.

Summary:
ρ   6.374 g/cm³
Formation energy without anion corrections   2.76 eV/f.u.
Total moment   2.54 μB per cell
VASP energy   -5.367 eV/atom

```
TaGe2Te
1.0
6.233 0.000 0.000
0.000 6.233 0.000
0.000 0.000 12.173
Ta Ge Te
4 8 4
Cartesian
0.000 0.000 0.000
0.000 3.117 3.043
3.117 0.000 9.129
3.117 3.117 6.086
1.320 1.558 1.522
1.558 4.437 4.565
1.558 4.913 10.651
1.797 1.558 7.608
4.437 4.675 7.608
4.675 1.320 10.651
4.675 1.797 4.565
4.913 4.675 1.522
0.000 0.000 6.086
0.000 3.117 9.129
3.117 0.000 3.043
3.117 3.117 0.000
```